A plane-wave DFT calculation with GGA-PBE was carried out for a geometry-optimized Re3GeW structure.

```
Re3GeW
1.0
-2.110 1.410 3.667
2.388 -2.845 2.467
3.120 3.131 0.591
Re Ge W
3 1 1
Direct
0.000 0.000 0.500 Re
0.500 0.000 0.000 Re
0.000 0.500 0.000 Re
0.000 0.000 0.000 Ge
0.500 0.500 0.500 W
```

Computed properties:
Polymorph energy (0 for the lowest one) (meV per atom): 0
Final energy (eV per formula unit): -46.13
Space group: Pm-3m, No. 221
Formation energy (eV/atom): 1.756
Magnetic moment (μB/f.u.): 0.00